A relaxed structure of RbCd2Hg2, computed with GGA-PBEsol.

Cell: 4.787 4.787 12.455 Å, 90.00 90.00 90.00°
Space group I4/mmm (No. 139)
Symmetry-distinct sites (fractional):
Rb (0.000, 0.000, 0.000) (multiplicity 2)
Cd (0.000, 0.500, 0.250) (multiplicity 4)
Hg (0.000, 0.000, 0.384) (multiplicity 4)

Total energy   -10.4 eV per cell
ΔH_f (0 K)   -130 meV per atom